# 1
10
Lattice="6.832 0.000 0.000 0.000 6.832 0.000 0.000 0.000 3.274" Properties=species:S:1:pos:R:3 comment="V2ZnGe2 | Alexandria via LeMat-Bulk | PBE | relaxed" e_above_lowest_polymorph_mev_per_atom=0 e_form_ev_per_atom=-0.026 pbc="T T T"
Ge 5.679 2.262 1.637
Ge 1.154 4.570 1.637
Ge 4.570 5.679 1.637
Ge 2.262 1.154 1.637
V 5.970 4.279 0.000
V 0.863 2.554 0.000
V 2.554 5.970 0.000
V 4.279 0.863 0.000
Zn 0.000 0.000 0.000
Zn 3.416 3.416 0.000

=====

# 2
4
Lattice="3.353 0.000 0.000 0.000 3.353 0.000 0.000 0.000 5.464" Properties=species:S:1:pos:R:3 comment="VZnGe2 | Alexandria via LeMat-Bulk | PBE | relaxed" e_form_ev_per_atom=0.022 pbc="T T T"
V 1.677 1.677 0.000
Ge 0.000 0.000 1.306
Ge 0.000 0.000 4.158
Zn 1.677 1.677 2.732

=====

# 3
10
Lattice="-1.492 5.679 -2.259 -6.110 -1.431 0.437 -0.074 1.432 3.649" Properties=species:S:1:pos:R:3 comment="V2Zn2Ge | Alexandria via LeMat-Bulk | PBE | relaxed" e_form_ev_per_atom=0.100 pbc="T T T"
V -1.823 3.441 -1.388
V -5.201 3.956 -1.658
V -5.779 0.807 -0.434
V -2.401 0.292 -0.163
Ge -3.801 2.124 -0.911
Ge 0.000 0.000 0.000
Zn -6.179 3.224 0.715
Zn -3.408 5.022 0.066
Zn -1.498 2.455 1.112
Zn -4.269 0.658 1.761

=====

# 4
8
Lattice="7.070 0.000 0.000 0.000 7.070 0.000 3.535 3.535 2.738" Properties=species:S:1:pos:R:3 comment="VZnGe2 | Alexandria via LeMat-Bulk | PBE | relaxed" e_form_ev_per_atom=0.376 pbc="T T T"
Zn 7.070 3.535 1.369
Zn 0.000 0.000 0.000
V 3.535 7.070 1.369
V 3.535 3.535 0.000
Ge 5.343 1.768 0.684
Ge 1.727 5.303 0.684
Ge 8.838 8.879 2.053
Ge 5.303 5.262 2.053

=====

# 5
5
Lattice="-4.409 -1.362 -1.273 1.852 -3.583 -2.578 -0.219 -2.867 3.827" Properties=species:S:1:pos:R:3 comment="VZnGe3 | Alexandria via LeMat-Bulk | PBE | relaxed" e_above_lowest_polymorph_mev_per_atom=602 e_form_ev_per_atom=0.930 pbc="T T T"
V -1.388 -3.906 -0.012
Ge -0.110 -1.433 1.913
Ge -2.204 -0.681 -0.637
Ge 0.926 -1.791 -1.289
Zn 0.000 0.000 0.000

=====

# 6
4
Lattice="-0.953 -0.920 -3.324 0.728 -4.029 0.906 -3.976 -0.435 1.260" Properties=species:S:1:pos:R:3 comment="ZrV2Ge | Alexandria via LeMat-Bulk | PBE | relaxed" e_form_ev_per_atom=-0.142 pbc="T T T"
V -1.988 -0.218 0.630
V 0.364 -2.015 0.453
Ge -0.476 -0.460 -1.662
Zr -2.100 -2.692 -0.579

=====

# 7
22
Lattice="2.566 9.207 -0.009 -2.566 9.207 -0.009 0.000 3.328 7.103" Properties=species:S:1:pos:R:3 comment="Zr3V9Ge10 | Alexandria via LeMat-Bulk | PBE | relaxed" e_form_ev_per_atom=-0.491 pbc="T T T"
V 1.295 13.753 2.195
V -1.295 13.753 2.195
V 0.000 9.083 2.259
V 0.000 1.825 1.363
V 1.289 8.028 4.907
V 0.000 16.593 1.838
V 0.000 12.662 4.820
V -1.289 8.028 4.907
V 0.000 19.917 5.700
Ge 0.000 14.585 0.087
Ge 0.000 6.706 2.963
Ge 0.000 18.715 3.299
Ge 1.298 9.182 0.016
Ge 0.000 2.908 3.683
Ge -1.298 9.182 0.016
Ge 0.000 11.580 2.472
Ge 0.000 7.217 7.043
Ge 0.000 10.184 4.616
Ge 0.000 15.095 4.084
Zr 0.000 15.076 6.903
Zr 0.000 6.695 0.212
Zr 0.000 5.078 5.253

=====

# 8
4
Lattice="4.162 0.000 0.000 2.081 3.604 0.000 2.081 1.201 4.663" Properties=species:S:1:pos:R:3 comment="ZrVGe2 | Alexandria via LeMat-Bulk | PBE | relaxed" e_above_lowest_polymorph_mev_per_atom=0 e_form_ev_per_atom=-0.334 pbc="T T T"
Zr 0.000 0.000 0.000
Ge 2.081 1.201 1.400
Ge 6.243 3.604 3.263
V 4.162 2.403 2.331

=====

Mass density values (in g cm⁻³) by entry order: 6.79 7.07 6.54 6.35 5.06 7.01 7.21 6.82.